Density functional theory data (PBE) for a geometry-optimized CsPtSe3 structure.

Calculated values
uncorrected energy: -3.89 eV per atom
formation energy (no corrections): -418 meV/atom
size of the total moment: 0.000 μB per atom

a b c (Å): 9.314 9.314 9.314
angles (deg): 41.55 41.55 41.55
Positions (direct):
Cs 0.152 0.152 0.152
Cs 0.848 0.848 0.848
Pt 0.333 0.333 0.333
Pt 0.667 0.667 0.667
Se 0.056 0.676 0.438
Se 0.324 0.562 0.944
Se 0.438 0.056 0.676
Se 0.562 0.944 0.324
Se 0.676 0.438 0.056
Se 0.944 0.324 0.562

***

Density functional theory data (PBE) for a geometry-optimized CsPtSe2 structure.

Calculated values
uncorrected energy: -3.66 eV per atom
formation energy (no corrections): -191 meV/atom
relative energy among the computed polymorphs: 476 meV/atom
size of the total moment: 0.000 μB per atom

a b c (Å): 6.328 6.328 14.529
angles (deg): 90.00 90.00 120.00
Positions (direct):
Cs 0.000 0.000 0.000
Cs 0.333 0.667 0.667
Cs 0.667 0.333 0.333
Pt 0.000 0.000 0.500
Pt 0.333 0.667 0.167
Pt 0.667 0.333 0.833
Se 0.000 0.000 0.344
Se 0.000 0.000 0.656
Se 0.333 0.667 0.010
Se 0.333 0.667 0.323
Se 0.667 0.333 0.677
Se 0.667 0.333 0.990

***

Density functional theory data (PBE) for a geometry-optimized CsPtSe3 structure.

Calculated values
uncorrected energy: -1.68 eV per atom
formation energy (no corrections): 1792 meV/atom
size of the total moment: 0.598 μB per atom

a b c (Å): 5.879 5.879 5.879
angles (deg): 90.00 90.00 90.00
Positions (direct):
Cs 0.000 0.000 0.000
Pt 0.500 0.500 0.500
Se 0.000 0.000 0.500
Se 0.000 0.500 0.000
Se 0.500 0.000 0.000

***

Density functional theory data (PBE) for a geometry-optimized CsPtSe2 structure.

Calculated values
uncorrected energy: -4.13 eV per atom
formation energy (no corrections): -667 meV/atom
relative energy among the computed polymorphs: 0 meV/atom
size of the total moment: 0.000 μB per atom

a b c (Å): 6.499 13.983 7.381
angles (deg): 90.00 90.00 90.00
Positions (direct):
Cs 0.000 0.152 0.250
Cs 0.000 0.848 0.750
Cs 0.500 0.348 0.750
Cs 0.500 0.652 0.250
Pt 0.000 0.500 0.250
Pt 0.000 0.500 0.750
Pt 0.500 0.000 0.250
Pt 0.500 0.000 0.750
Se 0.000 0.385 0.000
Se 0.000 0.385 0.500
Se 0.000 0.615 0.000
Se 0.000 0.615 0.500
Se 0.500 0.115 0.000
Se 0.500 0.115 0.500
Se 0.500 0.885 0.000
Se 0.500 0.885 0.500